1.
SCAN Cs2ReBrF, single point on PBEsol structure; E_tot = -34.3679 eV per atom; crystal system = tetragonal; space-group type = P4/mmm, No. 123; raw formation energy = -0.424 eV/atom
1.0
6.659 0.000 0.000
0.000 6.659 0.000
0.000 0.000 4.061
Cs Re Br F
2 1 1 1
direct
0.000 0.500 0.000
0.500 0.000 0.000
0.000 0.000 0.000
0.500 0.500 0.500
0.000 0.000 0.500

***

2.
SCAN Cs3FeBr, single point on PBEsol structure; E_tot = -30.1748 eV per atom; crystal system = cubic; space-group type = Pm-3m, No. 221; raw formation energy = 0.029 eV/atom
1.0
6.142 0.000 0.000
0.000 6.142 0.000
0.000 0.000 6.142
Cs Fe Br
3 1 1
direct
0.000 0.000 0.500
0.000 0.500 0.000
0.500 0.000 0.000
0.000 0.000 0.000
0.500 0.500 0.500

***

3.
SCAN CsFeSe2Br, single point on PBEsol structure; E_tot = -21.9790 eV per atom; crystal system = tetragonal; space-group type = P4/mmm, No. 123; raw formation energy = 1.132 eV/atom
1.0
5.608 0.000 0.000
0.000 5.608 0.000
0.000 0.000 6.290
Cs Fe Se Br
1 1 2 1
direct
0.000 0.000 0.000
0.500 0.500 0.500
0.000 0.500 0.000
0.500 0.000 0.000
0.000 0.000 0.500

***

4.
SCAN Cs2GaBr, single point on PBEsol structure; E_tot = -28.4390 eV per atom; crystal system = cubic; space-group type = Fm-3m, No. 225; raw formation energy = -0.582 eV/atom
1.0
0.000 4.375 4.375
4.375 0.000 4.375
4.375 4.375 0.000
Cs Ga Br
2 1 1
direct
0.250 0.250 0.250
0.750 0.750 0.750
0.000 0.000 0.000
0.500 0.500 0.500

***

5.
SCAN CsGaBr3, single point on PBEsol structure; E_tot = -23.7490 eV per atom; crystal system = cubic; space-group type = Pm-3m, No. 221; raw formation energy = -1.242 eV/atom
1.0
5.371 0.000 0.000
0.000 5.371 0.000
0.000 0.000 5.371
Cs Ga Br
1 1 3
direct
0.000 0.000 0.000
0.500 0.500 0.500
0.000 0.500 0.500
0.500 0.000 0.500
0.500 0.500 0.000

***

6.
SCAN Cs2InGaBr6, single point on PBEsol structure; E_tot = -25.5360 eV per atom; crystal system = cubic; space-group type = Fm-3m, No. 225; raw formation energy = -1.325 eV/atom
1.0
0.000 5.555 5.555
5.555 0.000 5.555
5.555 5.555 0.000
Cs In Ga Br
2 1 1 6
direct
0.250 0.250 0.250
0.750 0.750 0.750
0.000 0.000 0.000
0.500 0.500 0.500
0.243 0.243 0.757
0.243 0.757 0.243
0.243 0.757 0.757
0.757 0.243 0.243
0.757 0.243 0.757
0.757 0.757 0.243